# 1
NaPmGeO4 | GGA-PBE | optimized geometry

Calculated values
Uncorrected formation energy   -2.37 eV per atom

Cell: 5.9522 9.3841 7.3521 Å, 90.00 90.00 90.00°
With the nearest neighbours (Å) after each atom.
Space group Cmcm (No. 63)
Symmetry-distinct sites (fractional):
Na  0.0000  0.1765  0.2500  4 O 2.36-2.45
Pm  0.0000  0.5000  0.0000  6 O 2.31-2.42
Ge  0.0000  0.1527  0.7500  4 O 1.75-1.82
O  0.0000  0.2579  0.5536  1 Ge 1.75
O  0.2423  0.0350  0.7500  1 Ge 1.82

# 2
Tb4Pm2Pr2Ho | GGA-PBE | optimized geometry

Calculated values
Formation energy   0.005 eV per atom

Cell: 18.9000 3.6439 9.6879 Å, 90.00 115.69 90.00°
With the nearest neighbours (Å) after each atom.
Space group C2/m (No. 12)
Symmetry-distinct sites (fractional):
Tb  0.0192  0.0000  0.3314  4 Pm 3.57-3.65, 1 Pr 3.57, 2 Ho 3.57, 5 Tb 3.61-3.64
Tb  0.1850  0.5000  0.3353  3 Pm 3.55-3.66, 6 Tb 3.57-3.64, 2 Pr 3.59, 1 Ho 3.60
Pm  0.1468  0.5000  0.6627  7 Tb 3.55-3.66, 3 Pr 3.63-3.64, 2 Pm 3.64
Pr  0.1649  0.0000  0.0004  3 Tb 3.57-3.59, 2 Ho 3.61, 3 Pm 3.63-3.64, 4 Pr 3.64-3.70
Ho  0.0000  0.5000  0.0000  6 Tb 3.57-3.60, 4 Pr 3.61, 2 Ho 3.64